Compound: CdAg5Sb
Source: Alexandria
Functional: PBE
Structure: optimized geometry

Computed properties:
E_form (uncorrected): 0.28 eV per atom

```
data_CdAg5Sb
_chemical_formula_sum 'Cd4 Ag20 Sb4'
_symmetry_space_group_name_H-M 'C 1 2/c 1'
_symmetry_Int_Tables_number 15
_cell_length_a 11.280
_cell_length_b 7.919
_cell_length_c 9.957
_cell_angle_alpha 90.00
_cell_angle_beta 122.83
_cell_angle_gamma 90.00
loop_
_symmetry_equiv_pos_as_xyz
'x,y,z'
'-x,-y,-z'
'-x,y,-z+1/2'
'x,-y,z+1/2'
'x+1/2,y+1/2,z'
'-x+1/2,-y+1/2,-z'
'-x+1/2,y+1/2,-z+1/2'
'x+1/2,-y+1/2,z+1/2'
loop_
_atom_site_label
_atom_site_type_symbol
_atom_site_fract_x
_atom_site_fract_y
_atom_site_fract_z
Cd1 Cd 0.000 0.238 0.250
Ag1 Ag 0.000 0.381 0.750
Ag2 Ag 0.238 0.088 0.541
Ag3 Ag 0.248 0.364 0.728
Sb1 Sb 0.250 0.250 0.000
```